# 1
A relaxed Hf2SbTe crystal, computed with PBE.

The energy above the most stable polymorph in this dataset is 0.000 eV per atom. As for the uncorrected formation energy: -0.563 eV per atom.

It has space group P2_1/c (No. 14), with a = 7.627 Å, b = 7.114 Å, c = 7.104 Å, α = 90.00°, β = 90.00° and γ = 90.00°. The asymmetric unit holds Hf at (0.124, 0.188, 0.496), Hf at (0.374, 0.687, 0.006), Sb at (0.124, 0.575, 0.300) and Te at (0.375, 0.076, 0.202).

# 2
A relaxed CaCrInTe2 crystal, computed with PBE.

As for the uncorrected formation energy: -0.190 eV per atom.

It has space group P4/mmm (No. 123), with a = 5.464 Å, b = 5.464 Å, c = 5.034 Å, α = 90.00°, β = 90.00° and γ = 90.00°. The asymmetric unit holds Ca at (0.000, 0.000, 0.000), Cr at (0.500, 0.500, 0.500), In at (0.500, 0.500, 0.000) and Te at (0.000, 0.500, 0.500).

# 3
A relaxed UAl4Pb crystal, computed with PBE.

The calculation puts the formation energy at 110 meV/atom.

It has space group F-43m (No. 216), with a = 7.894 Å, b = 7.894 Å, c = 7.894 Å, α = 90.00°, β = 90.00° and γ = 90.00°. The asymmetric unit holds U at (0.000, 0.000, 0.000), Al at (0.125, 0.125, 0.625) and Pb at (0.250, 0.250, 0.250).

# 4
A relaxed AcHgRhPb2 crystal, computed with PBE.

The calculation puts the formation energy at -268 meV/atom.

It has space group P4mm (No. 99), with a = 5.310 Å, b = 5.310 Å, c = 5.592 Å, α = 90.00°, β = 90.00° and γ = 90.00°. The asymmetric unit holds Ac at (0.000, 0.000, 0.000), Hg at (0.500, 0.500, 0.012), Rh at (0.000, 0.000, 0.515) and Pb at (0.000, 0.500, 0.452).

Record-wise theoretical density values, in Mg/m³: 10.45, 5.11, 7.47, 9.95
Record-wise calculated volume values, in Å³/atom: 24.09, 30.06, 20.50, 31.53